{
  "formula": "LaBe2P2",
  "functional": "meta-GGA SCAN",
  "state": "single point on PBEsol structure",
  "ef_kj_per_mol_atoms": -83.7,
  "space_group": "I4/mmm, No. 139",
  "lattice_angstrom": [[-2.348, -1.139, -2.511], [1.616, -3.241, -0.041], [-3.271, 0.323, 5.523]],
  "species": ["La", "Be", "Be", "P", "P"],
  "frac_coords": [[0.000, 0.000, 0.000], [0.250, 0.750, 0.500], [0.750, 0.250, 0.500], [0.358, 0.358, 0.716], [0.642, 0.642, 0.284]]
}

***

{
  "formula": "LaBeP2",
  "functional": "meta-GGA SCAN",
  "state": "single point on PBEsol structure",
  "ef_kj_per_mol_atoms": -57.9,
  "space_group": "C2/m, No. 12",
  "lattice_angstrom": [[-2.696, -1.804, 2.419], [-3.174, -1.940, -1.593], [0.717, -5.331, 0.096]],
  "species": ["Be", "P", "P", "La"],
  "frac_coords": [[0.000, 0.000, 0.500], [0.708, 0.708, 0.386], [0.292, 0.292, 0.614], [0.500, 0.500, 0.000]]
}

***

{
  "formula": "LaBeP2",
  "functional": "meta-GGA SCAN",
  "state": "single point on PBEsol structure",
  "ef_kj_per_mol_atoms": -67.4,
  "space_group": "Pmm2, No. 25",
  "lattice_angstrom": [[-2.894, -2.843, 0.825], [2.449, -3.031, -1.851], [1.908, -0.820, 3.867]],
  "species": ["P", "P", "La", "Be"],
  "frac_coords": [[0.750, 0.500, 0.324], [0.750, 0.000, 0.914], [0.250, 0.500, 0.834], [0.750, 0.000, 0.428]]
}

***

{
  "formula": "LaBeP2S",
  "functional": "meta-GGA SCAN",
  "state": "single point on PBEsol structure",
  "raw_formation_energy_mev_per_atom": 1058,
  "space_group": "P4/mmm, No. 123",
  "lattice_angstrom": [[5.291, 0.000, 0.000], [0.000, 5.371, 0.000], [0.000, 0.000, 5.371]],
  "species": ["S", "P", "P", "Be", "La"],
  "frac_coords": [[0.500, 0.000, 0.000], [0.000, 0.000, 0.500], [0.000, 0.500, 0.000], [0.500, 0.500, 0.500], [0.000, 0.000, 0.000]]
}

***

{
  "formula": "La4BePb",
  "functional": "meta-GGA SCAN",
  "state": "single point on PBEsol structure",
  "ef_kj_per_mol_atoms": 35.9,
  "space_group": "F-43m, No. 216",
  "lattice_angstrom": [[-3.098, -5.437, 0.911], [2.837, -4.792, 2.996], [-1.865, -1.641, 5.816]],
  "species": ["Pb", "La", "La", "La", "La", "Be"],
  "frac_coords": [[0.750, 0.750, 0.750], [0.872, 0.376, 0.376], [0.376, 0.376, 0.872], [0.376, 0.376, 0.376], [0.376, 0.872, 0.376], [0.000, 0.000, 0.000]]
}

***

{
  "formula": "La2BePb",
  "functional": "meta-GGA SCAN",
  "state": "single point on PBEsol structure",
  "ef_kj_per_mol_atoms": -25.7,
  "polymorph_energy_kj_per_mol_atoms": 0.00,
  "space_group": "I4/mmm, No. 139",
  "lattice_angstrom": [[5.128, 0.000, 0.000], [-2.564, 4.863, 0.006], [0.000, 2.698, 4.361]],
  "species": ["La", "La", "Be", "Pb"],
  "frac_coords": [[0.250, 0.500, 0.250], [0.750, 0.500, 0.750], [0.500, 0.000, 0.500], [0.000, 0.000, 0.000]]
}

***

{
  "formula": "LaBePb2",
  "functional": "meta-GGA SCAN",
  "state": "single point on PBEsol structure",
  "ef_kj_per_mol_atoms": -15.2,
  "space_group": "R-3m, No. 166",
  "lattice_angstrom": [[4.621, 0.000, 0.000], [2.310, 4.002, 0.000], [2.310, 1.334, 5.517]],
  "species": ["Pb", "Pb", "La", "Be"],
  "frac_coords": [[0.222, 0.222, 0.334], [0.778, 0.778, 0.666], [0.000, 0.000, 0.000], [0.500, 0.500, 0.500]]
}

***

{
  "formula": "LaBePb2",
  "functional": "meta-GGA SCAN",
  "state": "single point on PBEsol structure",
  "ef_kj_per_mol_atoms": -1.0,
  "space_group": "P4/mmm, No. 123",
  "lattice_angstrom": [[-1.892, 2.515, -1.856], [-3.124, -1.536, 1.103], [-0.042, 4.334, 5.916]],
  "species": ["La", "Pb", "Pb", "Be"],
  "frac_coords": [[0.500, 0.500, 0.500], [0.000, 0.000, 0.798], [0.000, 0.000, 0.202], [0.500, 0.500, 0.000]]
}